DFT (PBE-GGA) results for HfReGe after structural relaxation.

Cell: 5.291 5.291 5.291 Å, 143.94 143.94 51.91°
Fractional positions:
Hf1 0.000 0.000 0.000
Re1 0.320 0.320 0.000
Ge1 0.690 0.690 0.000

Calculated values
Distance to the lowest polymorph of the same formula (eV per formula unit): 0.746
Symmetry: No. 107
Fermi-level density of states (states/eV/cell): 2.117
Energy of formation from the pure elements (eV/atom): -0.196